Record 1
The following is a PBE-GGA calculation of a relaxed structure of Tb8Tl2Au, from Alexandria via LeMat-Bulk.

Properties
Energy relative to the elements in eV/atom: -0.251
Density of states at the Fermi level in states/eV/cell: 22.2
Theoretical density in g cm⁻³: 9.6
Calculated volume in Å³ per atom: 29.46
Total moment in Bohr magnetons per cell: 0.00

a = 18.959 Å, b = 5.143 Å, c = 6.787 Å
α = 90.00°, β = 101.60°, γ = 90.00°
Space group C2/m (No. 12)
Inequivalent atoms, fractional coordinates:
Tb1 0.016 0.000 0.269 [4 per cell]
Tb2 0.091 0.500 0.966 [4 per cell]
Tb3 0.152 0.500 0.489 [4 per cell]
Tb4 0.208 0.000 0.818 [4 per cell]
Tl1 0.185 0.000 0.260 [4 per cell]
Au1 0.000 0.500 0.500 [2 per cell]


Record 2
The following is a PBE-GGA calculation of a relaxed structure of Tb4TlAu, from Alexandria via LeMat-Bulk.

Properties
Energy relative to the elements in eV/atom: -0.394
Density of states at the Fermi level in states/eV/cell: 10.5
Theoretical density in g cm⁻³: 10.3
Calculated volume in Å³ per atom: 27.98
Total moment in Bohr magnetons per cell: 0.00
Energy relative to the lowest polymorph listed for this composition in kcal/mol of atoms: 0.00

a = 5.456 Å, b = 7.002 Å, c = 8.855 Å
α = 90.00°, β = 96.97°, γ = 90.00°
Space group P2_1/m (No. 11)
Inequivalent atoms, fractional coordinates:
Tb1 0.177 0.250 0.063 [2 per cell]
Tb2 0.220 0.750 0.384 [2 per cell]
Tb3 0.307 0.510 0.747 [4 per cell]
Tl1 0.237 0.250 0.422 [2 per cell]
Au1 0.332 0.750 0.060 [2 per cell]


Record 3
The following is a PBE-GGA calculation of a relaxed structure of Tb3Tl2Au2, from Alexandria via LeMat-Bulk.

Properties
Energy relative to the elements in eV/atom: -0.571
Density of states at the Fermi level in states/eV/cell: 11.4
Theoretical density in g cm⁻³: 12.0
Calculated volume in Å³ per atom: 25.36
Total moment in Bohr magnetons per cell: 0.69

a = 4.492 Å, b = 22.320 Å, c = 3.541 Å
α = 90.00°, β = 90.00°, γ = 90.00°
Space group Cmmm (No. 65)
Inequivalent atoms, fractional coordinates:
Tb1 0.000 0.000 0.000 [2 per cell]
Tb2 0.000 0.167 0.000 [4 per cell]
Tl1 0.000 0.421 0.500 [4 per cell]
Au1 0.000 0.287 0.500 [4 per cell]


Q: What is the density of states at the Fermi level in the first record?
A: 22.2 states/eV/cell


Q: What is the calculated volume in the first record?
A: 29.46 Å³ per atom